# Cu2SbI6

A relaxed Cu2SbI6 crystal (PBE-GGA, Alexandria).

* D(E_F): 0.398 states/eV/atom
* spin magnetization: 0.0 Bohr magnetons per cell
* density: 3.92 g/cm³
* V: 47.53 A^3/atom
* energy relative to the elements, uncorrected: -17.6 kJ per mole of atoms

Unit cell a=7.8026 b=10.8008 c=10.8008 alpha=86.37 beta=75.80 gamma=75.80
Closest atoms and distances in Å follow each position.
Sites, in units of the cell vectors:
I 0.4641 0.3733 0.3683  2 Cu 2.48-2.53
I 0.1626 0.7911 0.9785  1 Cu 2.50
I 0.8374 0.2089 0.0215  1 Cu 2.50
I 0.8261 0.8954 0.3415  1 Sb 2.78
I 0.1739 0.1046 0.6585  1 Sb 2.78
I 0.6739 0.6585 0.1046  1 Sb 2.78
I 0.6626 0.9785 0.7911  1 Cu 2.50
I 0.3261 0.3415 0.8954  1 Sb 2.78
I 0.0359 0.6317 0.6267  2 Cu 2.48-2.53
I 0.3374 0.0215 0.2089  1 Cu 2.50
I 0.5359 0.6267 0.6317  2 Cu 2.48-2.53
I 0.9641 0.3683 0.3733  2 Cu 2.48-2.53
Sb 0.2500 0.1026 0.8974  2 I 2.78
Sb 0.7500 0.8974 0.1026  2 I 2.78
Cu 0.7127 0.7643 0.6946  3 I 2.48-2.53
Cu 0.2873 0.2357 0.3054  3 I 2.48-2.53
Cu 0.7873 0.3054 0.2357  3 I 2.48-2.53
Cu 0.2127 0.6946 0.7643  3 I 2.48-2.53